# TiV2BiO8 | the Alexandria database | PBE with a Hubbard U | optimized geometry
data_TiV2BiO8
_cell_length_a 5.6528
_cell_length_b 5.6528
_cell_length_c 6.3531
_cell_angle_alpha 90.00
_cell_angle_beta 90.00
_cell_angle_gamma 120.00
_space_group_name_H-M_alt 'P -3 m 1'
_space_group_IT_number 164
_space_group_name_Hall '-P 3 2"'
loop_
_atom_site_label
_atom_site_type_symbol
_atom_site_fract_x
_atom_site_fract_y
_atom_site_fract_z
Ti1 Ti 0.0000 0.0000 0.0000
V1 V 0.3333 0.6667 0.2794
Bi1 Bi 0.0000 0.0000 0.5000
O1 O 0.1573 0.3145 0.1984
O2 O 0.3333 0.6667 0.5408
# DOS at the Fermi energy: 0.340 states/eV per atom
# total magnetic moment: 1.009 μB per cell
# volume: 14.65 Å³ per atom
# DFT total energy: -7.451 eV/atom

***

# TiV2BiO | the Alexandria database | PBE with a Hubbard U | optimized geometry
data_TiV2BiO
_cell_length_a 5.391
_cell_length_b 5.391
_cell_length_c 5.335
_cell_angle_alpha 90.00
_cell_angle_beta 90.00
_cell_angle_gamma 90.00
_space_group_name_H-M_alt 'P 4/m m m'
_space_group_IT_number 123
_space_group_name_Hall '-P 4 2'
loop_
_atom_site_label
_atom_site_type_symbol
_atom_site_fract_x
_atom_site_fract_y
_atom_site_fract_z
Ti1 Ti 0.000 0.000 0.000
V1 V 0.000 0.500 0.500
Bi1 Bi 0.000 0.000 0.500
O1 O 0.500 0.500 0.000
# DOS at the Fermi energy: 1.366 states/eV per atom
# total magnetic moment: 4.614 μB per cell
# volume: 31.01 Å³ per atom
# DFT total energy: -4.573 eV/atom